[1]
Density functional theory data (PBE-GGA) for a relaxed structure of Pm5ZnGe4. Values from VASP.

Geometry as Quantum ESPRESSO input:
```
&SYSTEM
  ibrav = 0, nat = 10, ntyp = 3
/
ATOMIC_SPECIES
Pm 145.00 Pm.upf
Zn 65.41 Zn.upf
Ge 72.64 Ge.upf
ATOMIC_POSITIONS crystal
Pm 0.0000 0.0000 0.0000
Pm 0.2931 0.5049 0.5848
Pm 0.5049 0.9200 0.2117
Pm 0.7083 0.2931 0.7883
Pm 0.9200 0.7083 0.4152
Zn 0.4809 0.4809 0.0000
Ge 0.0052 0.4022 0.1864
Ge 0.2158 0.8188 0.8136
Ge 0.4022 0.2158 0.3970
Ge 0.8188 0.0052 0.6030
CELL_PARAMETERS angstrom
-4.7453 4.7453 3.0388
4.7453 -4.7453 3.0388
4.7453 4.7453 -3.0388
```

N(E_F) = 5.47 states/eV/f.u.
space-group type = I4
uncorrected energy = -49.328 eV for the cell shown
calculated volume = 27.4 Å³ per atom
crystal system = tetragonal
ΔE_f = -0.583 eV per atom

***

[2]
Density functional theory data (PBE-GGA) for a relaxed structure of As2SeCl. Values from VASP.

Geometry as Quantum ESPRESSO input:
```
&SYSTEM
  ibrav = 0, nat = 4, ntyp = 3
/
ATOMIC_SPECIES
As 74.92 As.upf
Se 78.96 Se.upf
Cl 35.45 Cl.upf
ATOMIC_POSITIONS crystal
As 0.0000 0.0000 0.0000
As 0.5000 0.5000 0.0454
Se 0.5000 0.5000 0.3284
Cl 0.0000 0.0000 0.7271
CELL_PARAMETERS angstrom
3.7780 0.0000 0.0000
0.0000 3.8681 0.0000
0.0000 0.0000 8.0889
```

N(E_F) = 1.51 states/eV/f.u.
space-group type = Pmm2
uncorrected energy = -14.932 eV for the cell shown
calculated volume = 29.6 Å³ per atom
energy relative to the elements, uncorrected = -0.30 eV per formula unit
energy relative to the lowest polymorph listed for this composition = 0.057 eV per atom
crystal system = orthorhombic

***

[3]
Density functional theory data (PBE-GGA) for a relaxed structure of Nd6Sb5Te. Values from VASP.

Geometry as Quantum ESPRESSO input:
```
&SYSTEM
  ibrav = 0, nat = 12, ntyp = 3
/
ATOMIC_SPECIES
Nd 144.24 Nd.upf
Sb 121.76 Sb.upf
Te 127.60 Te.upf
ATOMIC_POSITIONS crystal
Nd 0.0780 0.4157 0.7473
Nd 0.2464 0.2464 0.2525
Nd 0.4157 0.0780 0.7473
Nd 0.5843 0.9220 0.2527
Nd 0.7536 0.7536 0.7475
Nd 0.9220 0.5843 0.2527
Sb 0.0000 0.0000 0.5000
Sb 0.1670 0.8330 0.0000
Sb 0.3347 0.6653 0.5000
Sb 0.6653 0.3347 0.5000
Sb 0.8330 0.1670 0.0000
Te 0.5000 0.5000 0.0000
CELL_PARAMETERS angstrom
3.9199 -6.7808 0.0000
3.9199 6.7808 0.0000
-2.6111 0.0000 7.3792
```

N(E_F) = 3.63 states/eV/f.u.
space-group type = C2/m
uncorrected energy = -67.483 eV for the cell shown
calculated volume = 32.7 Å³ per atom
energy relative to the elements, uncorrected = -15.12 eV per formula unit
crystal system = monoclinic

***

Q: What is the formula in the first record?
A: Pm5ZnGe4